Entry 1:
# Sr2CdP (GGA-PBE, relaxed)
data_Sr2CdP
_symmetry_space_group_name_H-M 'R 3 m'
_symmetry_Int_Tables_number 160
_symmetry_space_group_name_Hall 'R 3 -2"'
_cell_length_a 4.3574
_cell_length_b 4.3574
_cell_length_c 26.0903
_cell_angle_alpha 90.00
_cell_angle_beta 90.00
_cell_angle_gamma 120.00
loop_
_atom_site_label
_atom_site_fract_x
_atom_site_fract_y
_atom_site_fract_z
Sr1 0.0000 0.0000 0.0000
Sr2 0.0000 0.0000 0.1855
Cd1 0.0000 0.0000 0.4366
P1 0.0000 0.0000 0.7313
# formation energy	-41	kJ per mole of atoms
# relative energy among the computed polymorphs	0.233	eV per atom
# Fermi-level density of states	0.84	states/eV/atom

=====

Entry 2:
# Cs2MgPa2Te6 (GGA-PBE, relaxed)
data_Cs2MgPa2Te6
_symmetry_space_group_name_H-M 'C 1 2/m 1'
_symmetry_Int_Tables_number 12
_cell_length_a 7.645
_cell_length_b 13.211
_cell_length_c 9.592
_cell_angle_alpha 90.00
_cell_angle_beta 105.51
_cell_angle_gamma 90.00
loop_
_symmetry_equiv_pos_as_xyz
'x,y,z'
'-x,-y,-z'
'-x,y,-z'
'x,-y,z'
'x+1/2,y+1/2,z'
'-x+1/2,-y+1/2,-z'
'-x+1/2,y+1/2,-z'
'x+1/2,-y+1/2,z'
loop_
_atom_site_label
_atom_site_fract_x
_atom_site_fract_y
_atom_site_fract_z
Cs1 0.000 0.167 0.000
Mg1 0.000 0.000 0.500
Pa1 0.000 0.333 0.500
Te1 0.229 0.164 0.687
Te2 0.231 0.500 0.687
# formation energy without anion corrections	-942	meV per atom
# Fermi-level density of states	1.09	states/eV/atom

=====

Entry 3:
# Tb2Dy5Cd (GGA-PBE, relaxed)
data_Tb2Dy5Cd
_symmetry_space_group_name_H-M 'P -1'
_symmetry_Int_Tables_number 2
_cell_length_a 3.571
_cell_length_b 7.516
_cell_length_c 18.542
_cell_angle_alpha 90.67
_cell_angle_beta 90.03
_cell_angle_gamma 103.72
loop_
_symmetry_equiv_pos_as_xyz
'x,y,z'
'-x,-y,-z'
loop_
_atom_site_label
_atom_site_fract_x
_atom_site_fract_y
_atom_site_fract_z
Tb1 0.155 0.308 0.479
Tb2 0.342 0.681 0.037
Dy1 0.034 0.065 0.088
Dy2 0.219 0.449 0.656
Dy3 0.287 0.574 0.835
Dy4 0.415 0.824 0.221
Dy5 0.476 0.950 0.399
Cd1 0.096 0.188 0.282
# formation energy	-3	kJ per mole of atoms
# Fermi-level density of states	1.31	states/eV/atom

=====

Entry 4:
# CaAcTcN3 (GGA-PBE, relaxed)
data_CaAcTcN3
_symmetry_space_group_name_H-M 'P 1 21/m 1'
_symmetry_Int_Tables_number 11
_cell_length_a 6.534
_cell_length_b 3.612
_cell_length_c 9.379
_cell_angle_alpha 90.00
_cell_angle_beta 107.56
_cell_angle_gamma 90.00
loop_
_symmetry_equiv_pos_as_xyz
'x,y,z'
'-x,-y,-z'
'-x,y+1/2,-z'
'x,-y+1/2,z'
loop_
_atom_site_label
_atom_site_fract_x
_atom_site_fract_y
_atom_site_fract_z
Ca1 0.144 0.250 0.139
Ac1 0.339 0.250 0.816
Tc1 0.364 0.750 0.418
N1 0.091 0.750 0.311
N2 0.260 0.750 0.984
N3 0.487 0.250 0.353
# formation energy without anion corrections	-686	meV per atom
# Fermi-level density of states	0.37	states/eV/atom

=====

Entry 5:
# Mg5In2Ag2Pb (GGA-PBE, relaxed)
data_Mg5In2Ag2Pb
_symmetry_space_group_name_H-M 'P 4/m b m'
_symmetry_Int_Tables_number 127
_symmetry_space_group_name_Hall '-P 4 2ab'
_cell_length_a 10.201
_cell_length_b 10.201
_cell_length_c 4.378
_cell_angle_alpha 90.00
_cell_angle_beta 90.00
_cell_angle_gamma 90.00
loop_
_atom_site_label
_atom_site_fract_x
_atom_site_fract_y
_atom_site_fract_z
Mg1 0.000 0.500 0.000
Mg2 0.079 0.205 0.000
In1 0.170 0.670 0.500
Ag1 0.125 0.375 0.500
Pb1 0.000 0.000 0.500
# formation energy	-7	kJ per mole of atoms
# Fermi-level density of states	0.37	states/eV/atom

=====

Entry 6:
# PaTeS4 (GGA-PBE, relaxed)
data_PaTeS4
_symmetry_space_group_name_H-M 'P 1 21/c 1'
_symmetry_Int_Tables_number 14
_cell_length_a 7.121
_cell_length_b 6.365
_cell_length_c 6.835
_cell_angle_alpha 90.00
_cell_angle_beta 100.93
_cell_angle_gamma 90.00
loop_
_symmetry_equiv_pos_as_xyz
'x,y,z'
'-x,-y,-z'
'-x,y+1/2,-z+1/2'
'x,-y+1/2,z+1/2'
loop_
_atom_site_label
_atom_site_fract_x
_atom_site_fract_y
_atom_site_fract_z
Pa1 0.000 0.000 0.000
Te1 0.500 0.000 0.500
S1 0.124 0.162 0.696
S2 0.360 0.649 0.641
# formation energy without anion corrections	-670	meV per atom
# relative energy among the computed polymorphs	0.095	eV per atom
# Fermi-level density of states	0.50	states/eV/atom

=====

no.,M_tot (μB per formula unit)
1,0.201
2,2.004
3,0.000
4,0.000
5,0.000
6,0.000